# 1
Density functional theory data (GGA-PBE) for a relaxed SrYMn2 crystal.

Unit cell a=5.8420 b=5.8420 c=5.8420 alpha=134.27 beta=134.27 gamma=66.67
Last column: nearest neighbours and their distance in Å.
Sites, in units of the cell vectors:
Sr: 0.0000 0.0000 0.0000  8 Mn 3.21-3.33, 4 Y 3.33
Y: 0.2500 0.7500 0.5000  8 Mn 3.21-3.33, 4 Sr 3.33
Mn: 0.5000 0.5000 0.0000  4 Sr 3.21, 4 Mn 3.33, 4 Y 3.33
Mn: 0.7500 0.2500 0.5000  4 Y 3.21, 4 Mn 3.33, 4 Sr 3.33

## Properties
The value obtained for the magnetization is 1.707 μB per atom. As for the density of states at the Fermi level: 5.31 states/eV/cell. The value obtained for the excess energy over the best structure of this formula in the dataset is 0.213 eV per atom. Its theoretical density is 4.73 Mg/m³.

***

# 2
Density functional theory data (GGA-PBE) for a relaxed SrY2Mn crystal.

Unit cell a=3.6079 b=3.6079 c=9.6834 alpha=90.00 beta=90.00 gamma=90.00
Last column: nearest neighbours and their distance in Å.
Sites, in units of the cell vectors:
Sr: 0.0000 0.0000 0.0000  4 Sr 3.61
Y: 0.5000 0.5000 0.3261  4 Mn 3.06, 1 Y 3.37
Y: 0.5000 0.5000 0.6739  4 Mn 3.06, 1 Y 3.37
Mn: 0.0000 0.0000 0.5000  8 Y 3.06

## Properties
The value obtained for the magnetization is 0.782 μB per atom. As for the density of states at the Fermi level: 6.22 states/eV/cell. The value obtained for the excess energy over the best structure of this formula in the dataset is 0.000 eV per atom. Its theoretical density is 4.22 Mg/m³.

***

# 3
Density functional theory data (GGA-PBE) for a relaxed SrYMn2 crystal.

Unit cell a=10.0702 b=10.0702 c=10.0702 alpha=20.24 beta=20.24 gamma=20.24
Last column: nearest neighbours and their distance in Å.
Sites, in units of the cell vectors:
Sr: 0.0000 0.0000 0.0000  6 Mn 3.34, 6 Sr 3.54
Y: 0.5000 0.5000 0.5000  6 Mn 3.07
Mn: 0.2440 0.2440 0.2440  3 Y 3.07, 3 Sr 3.34
Mn: 0.7560 0.7560 0.7560  3 Y 3.07, 3 Sr 3.34

## Properties
The value obtained for the magnetization is 1.798 μB per atom. As for the density of states at the Fermi level: 4.44 states/eV/cell. The value obtained for the excess energy over the best structure of this formula in the dataset is 0.285 eV per atom. Its theoretical density is 4.45 Mg/m³.

***

# 4
Density functional theory data (GGA-PBE) for a relaxed SrY2Mn crystal.

Unit cell a=6.7929 b=6.7929 c=6.7929 alpha=148.44 beta=129.52 gamma=60.76
Last column: nearest neighbours and their distance in Å.
Sites, in units of the cell vectors:
Sr: 0.0000 0.0000 0.0000  4 Mn 3.44, 2 Sr 3.69, 4 Y 3.77
Y: 0.2940 0.7940 0.5000  2 Mn 3.04
Y: 0.7060 0.2060 0.5000  2 Mn 3.04
Mn: 0.5000 0.5000 0.0000  4 Y 3.04

## Properties
The value obtained for the magnetization is 0.883 μB per atom. As for the density of states at the Fermi level: 5.17 states/eV/cell. The value obtained for the excess energy over the best structure of this formula in the dataset is 0.100 eV per atom. Its theoretical density is 4.24 Mg/m³.

***

# 5
Density functional theory data (GGA-PBE) for a relaxed SrYMn2 crystal.

Unit cell a=5.2392 b=5.2392 c=5.2392 alpha=60.00 beta=60.00 gamma=60.00
Last column: nearest neighbours and their distance in Å.
Sites, in units of the cell vectors:
Sr: 0.0000 0.0000 0.0000  8 Mn 3.21
Y: 0.5000 0.5000 0.5000  8 Mn 3.21
Mn: 0.2500 0.2500 0.2500  4 Y 3.21, 4 Sr 3.21
Mn: 0.7500 0.7500 0.7500  4 Y 3.21, 4 Sr 3.21

## Properties
The value obtained for the magnetization is 1.745 μB per atom. As for the density of states at the Fermi level: 4.41 states/eV/cell. The value obtained for the excess energy over the best structure of this formula in the dataset is 0.091 eV per atom. Its theoretical density is 4.68 Mg/m³.

***

# 6
Density functional theory data (GGA-PBE) for a relaxed SrY2Mn crystal.

Unit cell a=6.8025 b=6.8025 c=3.5041 alpha=102.83 beta=102.83 gamma=120.04
Last column: nearest neighbours and their distance in Å.
Sites, in units of the cell vectors:
Sr: 0.0000 0.0000 0.0000  4 Mn 3.40-3.64, 4 Y 3.46, 2 Sr 3.50
Y: 0.0000 0.5000 0.5000  6 Y 3.40-3.64, 2 Mn 3.46, 2 Sr 3.46
Y: 0.5000 0.0000 0.5000  6 Y 3.40-3.64, 2 Mn 3.46, 2 Sr 3.46
Mn: 0.5000 0.5000 0.0000  4 Sr 3.40-3.64, 4 Y 3.46, 2 Mn 3.50

## Properties
The value obtained for the magnetization is 0.869 μB per atom. As for the density of states at the Fermi level: 7.28 states/eV/cell. The value obtained for the excess energy over the best structure of this formula in the dataset is 0.329 eV per atom. Its theoretical density is 4.23 Mg/m³.

***

# 7
Density functional theory data (GGA-PBE) for a relaxed SrYMn2 crystal.

Unit cell a=5.9715 b=5.9715 c=5.4666 alpha=107.81 beta=107.81 gamma=33.63
Last column: nearest neighbours and their distance in Å.
Sites, in units of the cell vectors:
Sr: 0.0000 0.0000 0.0000  7 Mn 3.23-3.34, 2 Sr 3.45, 2 Y 3.48-3.51
Y: 0.2012 0.2012 0.6314  7 Mn 3.18-3.43, 2 Y 3.45, 2 Sr 3.48-3.51
Mn: 0.4455 0.4455 0.4643  2 Mn 2.73
Mn: 0.7636 0.7636 0.2010  2 Mn 2.73

## Properties
The value obtained for the magnetization is 1.772 μB per atom. As for the density of states at the Fermi level: 4.51 states/eV/cell. The value obtained for the excess energy over the best structure of this formula in the dataset is 0.083 eV per atom. Its theoretical density is 4.65 Mg/m³.

***

# 8
Density functional theory data (GGA-PBE) for a relaxed Sr2YMn crystal.

Unit cell a=6.5931 b=6.5931 c=6.5931 alpha=135.14 beta=135.14 gamma=65.32
Last column: nearest neighbours and their distance in Å.
Sites, in units of the cell vectors:
Sr: 0.2500 0.7500 0.5000  4 Sr 3.56, 4 Mn 3.75, 4 Y 3.75
Sr: 0.7500 0.2500 0.5000  4 Sr 3.56, 4 Mn 3.75, 4 Y 3.75
Y: 0.0000 0.0000 0.0000  4 Mn 3.56, 8 Sr 3.75
Mn: 0.5000 0.5000 0.0000  4 Y 3.56, 8 Sr 3.75

## Properties
The value obtained for the magnetization is 0.682 μB per atom. As for the density of states at the Fermi level: 7.16 states/eV/cell. The value obtained for the excess energy over the best structure of this formula in the dataset is 0.293 eV per atom. Its theoretical density is 3.77 Mg/m³.

***

# 9
Density functional theory data (GGA-PBE) for a relaxed Sr2YMn crystal.

Unit cell a=9.6425 b=9.6425 c=9.6425 alpha=157.43 beta=153.36 gamma=35.19
Last column: nearest neighbours and their distance in Å.
Sites, in units of the cell vectors:
Sr: 0.1611 0.1611 0.0000  2 Mn 3.51, 2 Y 3.70, 2 Sr 3.77
Sr: 0.8389 0.8389 0.0000  2 Mn 3.51, 2 Y 3.70, 2 Sr 3.77
Y: 0.5000 0.0000 0.5000  4 Mn 2.91
Mn: 0.0000 0.5000 0.5000  4 Y 2.91

## Properties
The value obtained for the magnetization is 0.783 μB per atom. As for the density of states at the Fermi level: 4.99 states/eV/cell. The value obtained for the excess energy over the best structure of this formula in the dataset is 0.132 eV per atom. Its theoretical density is 3.44 Mg/m³.

***

# 10
Density functional theory data (GGA-PBE) for a relaxed SrY2Mn crystal.

Unit cell a=3.7111 b=3.7111 c=9.1648 alpha=90.00 beta=90.00 gamma=90.00
Last column: nearest neighbours and their distance in Å.
Sites, in units of the cell vectors:
Sr: 0.0000 0.0000 0.0000  4 Mn 3.40, 4 Sr 3.71, 1 Y 3.72
Y: 0.0000 0.0000 0.4059  4 Mn 3.05
Y: 0.5000 0.5000 0.6664  8 Y 3.55-3.71, 1 Mn 3.94
Mn: 0.5000 0.5000 0.2361  4 Y 3.05, 4 Sr 3.40

## Properties
The value obtained for the magnetization is 1.083 μB per atom. As for the density of states at the Fermi level: 4.59 states/eV/cell. The value obtained for the excess energy over the best structure of this formula in the dataset is 0.080 eV per atom. Its theoretical density is 4.21 Mg/m³.

***

# 11
Density functional theory data (GGA-PBE) for a relaxed SrYMn4 crystal.

Unit cell a=5.5863 b=5.5863 c=5.5863 alpha=60.00 beta=60.00 gamma=60.00
Last column: nearest neighbours and their distance in Å.
Sites, in units of the cell vectors:
Sr: 0.0000 0.0000 0.0000  12 Mn 3.29, 4 Y 3.42
Y: 0.7500 0.7500 0.7500  12 Mn 3.26, 4 Sr 3.42
Mn: 0.3796 0.3796 0.3796  6 Mn 2.69-2.90
Mn: 0.3796 0.3796 0.8611  6 Mn 2.69-2.90
Mn: 0.3796 0.8611 0.3796  6 Mn 2.69-2.90
Mn: 0.8611 0.3796 0.3796  6 Mn 2.69-2.90

## Properties
The value obtained for the magnetization is 2.172 μB per atom. As for the density of states at the Fermi level: 7.95 states/eV/cell. As for the final energy: -6.978 eV/atom. Its theoretical density is 5.34 Mg/m³.

***

# 12
Density functional theory data (GGA-PBE) for a relaxed SrYMn2 crystal.

Unit cell a=5.2189 b=5.2189 c=6.7992 alpha=102.88 beta=102.88 gamma=39.10
Last column: nearest neighbours and their distance in Å.
Sites, in units of the cell vectors:
Sr: 0.0000 0.0000 0.0000  6 Mn 3.45-3.76, 2 Sr 3.49, 4 Y 3.82
Y: 0.5000 0.5000 0.5000  6 Mn 2.91-2.99
Mn: 0.2484 0.2484 0.6560  2 Mn 2.75, 3 Y 2.91-2.99
Mn: 0.7516 0.7516 0.3440  2 Mn 2.75, 3 Y 2.91-2.99

## Properties
The value obtained for the magnetization is 1.653 μB per atom. As for the density of states at the Fermi level: 5.48 states/eV/cell. The value obtained for the excess energy over the best structure of this formula in the dataset is 0.194 eV per atom. Its theoretical density is 4.19 Mg/m³.